## PaB2S6 (GGA-PBE)

Data for an optimized crystal structure of PaB2S6.

Structure (CIF):
```
data_PaB2S6
_chemical_formula_sum 'Pa4 B8 S24'
_symmetry_space_group_name_H-M 'C 1 2/c 1'
_symmetry_Int_Tables_number 15
_cell_length_a 12.030
_cell_length_b 9.735
_cell_length_c 6.014
_cell_angle_alpha 90.00
_cell_angle_beta 110.75
_cell_angle_gamma 90.00
loop_
_symmetry_equiv_pos_as_xyz
'x,y,z'
'-x,-y,-z'
'-x,y,-z+1/2'
'x,-y,z+1/2'
'x+1/2,y+1/2,z'
'-x+1/2,-y+1/2,-z'
'-x+1/2,y+1/2,-z+1/2'
'x+1/2,-y+1/2,z+1/2'
loop_
_atom_site_label
_atom_site_type_symbol
_atom_site_fract_x
_atom_site_fract_y
_atom_site_fract_z
Pa1 Pa 0.000 0.179 0.250
B1 B 0.200 0.439 0.219
S1 S 0.128 0.053 0.664
S2 S 0.136 0.282 0.029
S3 S 0.144 0.413 0.478
```

Values from the calculation:
Formation energy from raw total energies: -601.8 meV/atom
Crystal system: monoclinic



## BaNa2Si4 (GGA-PBE)

Data for an optimized crystal structure of BaNa2Si4.

Structure (CIF):
```
data_BaNa2Si4
_chemical_formula_sum 'Ba8 Na16 Si32'
_symmetry_space_group_name_H-M 'I m a 2'
_symmetry_Int_Tables_number 46
_cell_length_a 9.561
_cell_length_b 18.102
_cell_length_c 8.568
_cell_angle_alpha 90.00
_cell_angle_beta 90.00
_cell_angle_gamma 90.00
loop_
_symmetry_equiv_pos_as_xyz
'x,y,z'
'-x,-y,z'
'-x+1/2,y,z'
'x+1/2,-y,z'
'x+1/2,y+1/2,z+1/2'
'-x+1/2,-y+1/2,z+1/2'
'-x,y+1/2,z+1/2'
'x,-y+1/2,z+1/2'
loop_
_atom_site_label
_atom_site_type_symbol
_atom_site_fract_x
_atom_site_fract_y
_atom_site_fract_z
Ba1 Ba 0.000 0.000 0.000
Ba2 Ba 0.250 0.167 0.669
Na1 Na 0.000 0.000 0.499
Na2 Na 0.034 0.726 0.497
Na3 Na 0.250 0.624 0.833
Si1 Si 0.121 0.160 0.296
Si2 Si 0.122 0.640 0.188
Si3 Si 0.250 0.046 0.276
Si4 Si 0.250 0.135 0.061
Si5 Si 0.250 0.526 0.220
Si6 Si 0.250 0.618 0.425
```

Values from the calculation:
Formation energy from raw total energies: -168.0 meV/atom
Crystal system: orthorhombic



## TlZn3Cu (GGA-PBE)

Data for an optimized crystal structure of TlZn3Cu.

Structure (CIF):
```
data_TlZn3Cu
_chemical_formula_sum 'Tl1 Zn3 Cu1'
_symmetry_space_group_name_H-M 'P m -3 m'
_symmetry_Int_Tables_number 221
_symmetry_space_group_name_Hall '-P 4 2 3'
_cell_length_a 4.726
_cell_length_b 4.726
_cell_length_c 4.726
_cell_angle_alpha 90.00
_cell_angle_beta 90.00
_cell_angle_gamma 90.00
loop_
_atom_site_label
_atom_site_type_symbol
_atom_site_fract_x
_atom_site_fract_y
_atom_site_fract_z
Tl1 Tl 0.000 0.000 0.000
Zn1 Zn 0.000 0.500 0.500
Cu1 Cu 0.500 0.500 0.500
```

Values from the calculation:
Crystal system: cubic
DFT formation energy: 0.194 eV per atom



## Li7Co6 (GGA-PBE)

Data for an optimized crystal structure of Li7Co6.

Structure (CIF):
```
data_Li7Co6
_chemical_formula_sum 'Li21 Co18'
_symmetry_space_group_name_H-M 'R -3 m'
_symmetry_Int_Tables_number 166
_symmetry_space_group_name_Hall '-R 3 2"'
_cell_length_a 4.4727
_cell_length_b 4.4727
_cell_length_c 25.1424
_cell_angle_alpha 90.00
_cell_angle_beta 90.00
_cell_angle_gamma 120.00
loop_
_atom_site_label
_atom_site_type_symbol
_atom_site_fract_x
_atom_site_fract_y
_atom_site_fract_z
Li1 Li 0.0000 0.0000 0.0000
Li2 Li 0.0088 0.5044 0.4124
Co1 Co 0.0000 0.0000 0.1659
Co2 Co 0.0000 0.0000 0.3507
Co3 Co 0.0000 0.0000 0.4565
```

Values from the calculation:
Crystal system: trigonal
DFT formation energy: 0.350 eV per atom



Here are the calculated size of the total moment numbers, same order: 0.00 0.00 0.00 23.62 (Bohr magnetons per cell).